No. 1
5
Lattice="5.182 0.000 0.000 0.000 5.182 0.000 0.000 0.000 4.301" Properties=species:S:1:pos:R:3 comment="La2ZnSbN PBE-GGA relaxed" raw_formation_energy_ev_per_atom=-0.833 magnetic_moment_mub_per_fu=0.00 dos_ef_per_ev_atom=0.7041 space_group="P4/mmm, No. 123" pbc="T T T"
La 0.000 2.591 0.000
La 2.591 0.000 0.000
Zn 0.000 0.000 2.151
Sb 2.591 2.591 2.151
N 0.000 0.000 0.000

---

No. 2
11
Lattice="3.150 -5.466 0.000 3.150 5.466 0.000 -2.175 0.000 6.577" Properties=species:S:1:pos:R:3 comment="In2Ir2RhS6 PBE-GGA relaxed" raw_formation_energy_ev_per_atom=-0.347 magnetic_moment_mub_per_fu=0.00 dos_ef_per_ev_atom=0.3025 space_group="C2/m, No. 12" pbc="T T T"
In 3.150 3.650 0.000
In 3.150 -3.650 0.000
Ir 2.062 1.844 3.288
Ir 2.062 -1.844 3.288
Rh -1.088 0.000 3.288
S -0.038 1.839 4.470
S 1.010 0.000 2.129
S -0.038 -1.839 4.470
S 4.163 1.839 2.107
S 3.115 0.000 4.448
S 4.163 -1.839 2.107

---

No. 3
5
Lattice="5.612 0.000 0.000 0.000 5.612 0.000 0.000 0.000 6.049" Properties=species:S:1:pos:R:3 comment="SrBiPBr2 PBE-GGA relaxed" raw_formation_energy_ev_per_atom=-0.095 magnetic_moment_mub_per_fu=0.00 dos_ef_per_ev_atom=1.2724 space_group="P4/mmm, No. 123" pbc="T T T"
Sr 0.000 0.000 0.000
Bi 2.806 2.806 3.025
P 0.000 0.000 3.025
Br 0.000 2.806 0.000
Br 2.806 0.000 0.000

---

No. 4
6
Lattice="3.592 0.000 0.000 0.000 3.592 0.000 0.000 0.000 13.037" Properties=species:S:1:pos:R:3 comment="Dy4CdHg PBE-GGA relaxed" magnetic_moment_mub_per_fu=1.75 dos_ef_per_ev_atom=1.1995 ef_ev_per_atom=-0.246 space_group="P4/mmm, No. 123" pbc="T T T"
Dy 0.000 0.000 2.005
Dy 0.000 0.000 11.031
Dy 1.796 1.796 4.463
Dy 1.796 1.796 8.573
Cd 0.000 0.000 6.518
Hg 1.796 1.796 0.000

---

No. 5
4
Lattice="3.439 0.000 0.000 0.000 4.526 0.000 0.000 0.000 6.988" Properties=species:S:1:pos:R:3 comment="CaMg2Sc PBE-GGA relaxed" magnetic_moment_mub_per_fu=0.00 dos_ef_per_ev_atom=1.0035 ef_ev_per_atom=0.080 space_group="Pmm2, No. 25" pbc="T T T"
Ca 0.000 0.000 0.000
Mg 0.000 0.000 3.499
Mg 1.720 2.263 1.830
Sc 1.720 2.263 4.984

---

No. 6
4
Lattice="1.590 0.918 9.400 -1.590 0.918 9.400 0.000 -1.836 9.400" Properties=species:S:1:pos:R:3 comment="BaMo2Ru PBE-GGA relaxed" magnetic_moment_mub_per_fu=0.00 dos_ef_per_ev_atom=1.2157 ef_ev_per_atom=0.869 space_group="R3m, No. 160" pbc="T T T"
Ba 0.000 0.000 0.000
Mo 0.000 0.000 14.163
Mo 0.000 0.000 21.780
Ru 0.000 0.000 6.641

---

No. 7
6
Lattice="1.690 -7.063 0.000 1.690 7.063 0.000 0.000 0.000 6.792" Properties=species:S:1:pos:R:3 comment="TbPmSi PBE-GGA relaxed" raw_formation_energy_ev_per_atom=-0.296 magnetic_moment_mub_per_fu=0.00 dos_ef_per_ev_atom=0.6162 space_group="Cmcm, No. 63" pbc="T T T"
Tb 1.690 5.283 5.094
Tb 1.690 -5.283 1.698
Pm 1.690 5.148 1.698
Pm 1.690 -5.148 5.094
Si 1.690 0.000 0.000
Si 1.690 0.000 3.396

---

No. 8
12
Lattice="-3.345 3.345 3.497 3.345 -3.345 3.497 3.345 3.345 -3.497" Properties=species:S:1:pos:R:3 comment="NpCu2BiO8 PBE-GGA relaxed" raw_formation_energy_ev_per_atom=-1.195 magnetic_moment_mub_per_fu=1.93 dos_ef_per_ev_atom=0.7853 space_group="I-4m2, No. 119" pbc="T T T"
Np 0.000 0.000 0.000
Cu 3.345 0.000 1.749
Cu 0.000 0.000 3.497
Bi 0.000 3.345 1.749
O 2.004 0.000 0.347
O 4.687 0.000 0.347
O 3.345 2.178 -1.440
O 3.345 -1.341 3.150
O 0.000 1.168 2.057
O 3.345 1.341 3.150
O 2.178 3.345 1.440
O 1.168 0.000 4.937

---

No. 9
4
Lattice="2.831 0.000 0.000 0.000 2.831 0.000 0.000 0.000 7.105" Properties=species:S:1:pos:R:3 comment="CdAgHRh PBE-GGA relaxed" magnetic_moment_mub_per_fu=0.00 dos_ef_per_ev_atom=0.4969 space_group="P4mm, No. 99" dft_energy_ev_per_atom=-3.52 pbc="T T T"
Cd 0.000 0.000 0.000
Ag 1.415 1.415 2.251
H 0.000 0.000 4.706
Rh 1.415 1.415 5.011

---

Repeat the third record exactly.
5
Lattice="5.612 0.000 0.000 0.000 5.612 0.000 0.000 0.000 6.049" Properties=species:S:1:pos:R:3 comment="SrBiPBr2 PBE-GGA relaxed" raw_formation_energy_ev_per_atom=-0.095 magnetic_moment_mub_per_fu=0.00 dos_ef_per_ev_atom=1.2724 space_group="P4/mmm, No. 123" pbc="T T T"
Sr 0.000 0.000 0.000
Bi 2.806 2.806 3.025
P 0.000 0.000 3.025
Br 0.000 2.806 0.000
Br 2.806 0.000 0.000

---

Question: What is the formula in the eighth record?
Answer: NpCu2BiO8

---

Question: Number 3 is which compound?
Answer: SrBiPBr2